## w
Below is MgCr2 after structural relaxation, with properties calculated at the GGA-PBE level.

Unit cell a=5.259 b=5.259 c=5.259 alpha=146.89 beta=146.89 gamma=47.52
Fractional positions:
1 Cr 0.700 0.700 0.000
2 Cr 0.300 0.300 0.000
3 Mg 0.000 0.000 0.000

Summary:
- crystal system = tetragonal
- magnetization (μB/f.u.) = 0.00



## x
Below is MgCr2 after structural relaxation, with properties calculated at the GGA-PBE level.

Unit cell a=4.193 b=5.594 c=7.941 alpha=90.00 beta=90.00 gamma=90.00
Fractional positions:
1 Cr 0.250 0.053 0.708
2 Cr 0.750 0.447 0.208
3 Cr 0.250 0.553 0.792
4 Cr 0.750 0.947 0.292
5 Cr 0.250 0.135 0.404
6 Cr 0.750 0.365 0.904
7 Cr 0.250 0.635 0.096
8 Cr 0.750 0.865 0.596
9 Mg 0.250 0.649 0.432
10 Mg 0.750 0.851 0.932
11 Mg 0.250 0.149 0.068
12 Mg 0.750 0.351 0.568

Summary:
- crystal system = orthorhombic
- magnetization (μB/f.u.) = 0.07



## y
Below is MgCr2 after structural relaxation, with properties calculated at the GGA-PBE level.

Unit cell a=6.781 b=6.781 c=4.344 alpha=90.00 beta=90.00 gamma=120.00
Fractional positions:
1 Mg 0.333 0.667 0.000
2 Mg 0.667 0.333 0.000
3 Mg 0.000 0.000 0.500
4 Cr 0.237 0.000 0.000
5 Cr 0.000 0.237 0.000
6 Cr 0.763 0.763 0.000
7 Cr 0.571 0.000 0.500
8 Cr 0.000 0.571 0.500
9 Cr 0.429 0.429 0.500

Summary:
- crystal system = hexagonal
- magnetization (μB/f.u.) = 7.86



It is y that is the least stable of them.



## w
Below is MgCr2 after structural relaxation, with properties calculated at the GGA-PBE level.

Unit cell a=6.806 b=6.806 c=4.428 alpha=90.00 beta=90.00 gamma=154.04
Fractional positions:
1 Mg 0.250 0.750 0.750
2 Mg 0.750 0.250 0.250
3 Cr 0.571 0.429 0.750
4 Cr 0.929 0.071 0.750
5 Cr 0.071 0.929 0.250
6 Cr 0.429 0.571 0.250

Summary:
- magnetization (μB/f.u.) = 0.00



## x
Below is MgCr2 after structural relaxation, with properties calculated at the GGA-PBE level.

Unit cell a=2.485 b=4.403 c=7.449 alpha=90.00 beta=90.00 gamma=90.00
Fractional positions:
1 Mg 0.000 0.000 0.000
2 Mg 0.500 0.500 0.500
3 Cr 0.953 0.000 0.345
4 Cr 0.047 0.000 0.655
5 Cr 0.453 0.500 0.155
6 Cr 0.547 0.500 0.845

Summary:
- crystal system = orthorhombic
- magnetization (μB/f.u.) = 0.00



## y
Below is MgCr2 after structural relaxation, with properties calculated at the GGA-PBE level.

Unit cell a=4.327 b=4.327 c=2.534 alpha=90.00 beta=90.00 gamma=120.00
Fractional positions:
1 Cr 0.333 0.667 0.500
2 Cr 0.667 0.333 0.500
3 Mg 0.000 0.000 0.000

Summary:
- crystal system = hexagonal
- magnetization (μB/f.u.) = 0.01



## z
Below is MgCr2 after structural relaxation, with properties calculated at the GGA-PBE level.

Unit cell a=4.941 b=4.941 c=4.941 alpha=60.00 beta=60.00 gamma=60.00
Fractional positions:
1 Mg 0.500 0.500 0.500
2 Mg 0.750 0.750 0.750
3 Cr 0.625 0.125 0.125
4 Cr 0.125 0.625 0.125
5 Cr 0.125 0.125 0.625
6 Cr 0.125 0.125 0.125

Summary:
- crystal system = cubic
- magnetization (μB/f.u.) = 0.05



It is y that is the least stable of them.



## w
Below is Mg4Cr5 after structural relaxation, with properties calculated at the GGA-PBE level.

Unit cell a=7.260 b=7.260 c=7.260 alpha=92.79 beta=92.79 gamma=154.51
Fractional positions:
1 Mg 0.324 0.000 0.324
2 Mg 0.676 0.000 0.676
3 Mg 0.000 0.676 0.676
4 Mg 0.000 0.324 0.324
5 Cr 0.000 0.000 0.000
6 Cr 0.350 0.650 0.000
7 Cr 0.650 0.350 0.000
8 Cr 0.650 0.650 0.300
9 Cr 0.350 0.350 0.700

Summary:
- crystal system = tetragonal
- magnetization (μB/f.u.) = 12.73



## x
Below is Mg4Cr5 after structural relaxation, with properties calculated at the GGA-PBE level.

Unit cell a=8.059 b=8.059 c=5.645 alpha=90.00 beta=90.00 gamma=120.00
Fractional positions:
1 Cr 0.000 0.632 0.250
2 Cr 0.368 0.368 0.250
3 Cr 0.632 0.000 0.250
4 Cr 0.000 0.368 0.750
5 Cr 0.632 0.632 0.750
6 Cr 0.368 0.000 0.750
7 Cr 0.667 0.333 0.000
8 Cr 0.333 0.667 0.500
9 Cr 0.333 0.667 0.000
10 Cr 0.667 0.333 0.500
11 Mg 0.000 0.000 0.000
12 Mg 0.000 0.000 0.500
13 Mg 0.000 0.314 0.250
14 Mg 0.686 0.686 0.250
15 Mg 0.314 0.000 0.250
16 Mg 0.000 0.686 0.750
17 Mg 0.314 0.314 0.750
18 Mg 0.686 0.000 0.750

Summary:
- crystal system = hexagonal
- magnetization (μB/f.u.) = 4.13



It is x that is the least stable of them.



## w
Below is Mg2Cr3 after structural relaxation, with properties calculated at the GGA-PBE level.

Unit cell a=8.317 b=7.271 c=5.530 alpha=79.77 beta=59.36 gamma=40.87
Fractional positions:
1 Mg 0.379 0.514 0.257
2 Mg 0.850 0.257 0.514
3 Mg 0.736 0.871 0.400
4 Mg 0.993 0.400 0.871
5 Cr 0.319 0.451 0.829
6 Cr 0.400 0.829 0.451
7 Cr 0.799 0.931 0.850
8 Cr 0.421 0.850 0.931
9 Cr 0.051 0.949 0.949
10 Cr 0.301 0.199 0.199

Summary:
- crystal system = orthorhombic
- magnetization (μB/f.u.) = 4.03



## x
Below is Mg2Cr3 after structural relaxation, with properties calculated at the GGA-PBE level.

Unit cell a=4.644 b=4.644 c=5.721 alpha=90.00 beta=90.00 gamma=120.00
Fractional positions:
1 Mg 0.667 0.333 0.151
2 Mg 0.333 0.667 0.849
3 Cr 0.000 0.000 0.000
4 Cr 0.667 0.333 0.651
5 Cr 0.333 0.667 0.349

Summary:
- crystal system = trigonal
- magnetization (μB/f.u.) = 12.89



It is x that is the least stable of them.



## w
Below is Mg3MnCr after structural relaxation, with properties calculated at the GGA-PBE level.

Unit cell a=4.873 b=4.873 c=4.873 alpha=90.00 beta=90.00 gamma=90.00
Fractional positions:
1 Cr 0.000 0.000 0.000
2 Mg 0.000 0.500 0.000
3 Mg 0.000 0.000 0.500
4 Mg 0.500 0.000 0.000
5 Mn 0.500 0.500 0.500

Summary:
- crystal system = cubic
- magnetization (μB/f.u.) = 0.26



## x
Below is Mg3MnCr after structural relaxation, with properties calculated at the GGA-PBE level.

Unit cell a=5.018 b=5.018 c=5.018 alpha=90.00 beta=90.00 gamma=90.00
Fractional positions:
1 Cr 0.500 0.500 0.500
2 Mg 0.000 0.500 0.000
3 Mg 0.000 0.000 0.500
4 Mg 0.500 0.000 0.000
5 Mn 0.000 0.000 0.000

Summary:
- crystal system = cubic
- magnetization (μB/f.u.) = 1.41



It is w that is the least stable of them.



## w
Below is Mg14MnCr after structural relaxation, with properties calculated at the GGA-PBE level.

Unit cell a=6.272 b=6.272 c=10.145 alpha=90.00 beta=90.00 gamma=119.83
Fractional positions:
1 Mg 0.834 0.166 0.000
2 Mg 0.334 0.666 0.000
3 Mg 0.334 0.166 0.500
4 Mg 0.333 0.167 0.000
5 Mg 0.834 0.666 0.500
6 Mg 0.833 0.667 0.000
7 Mg 0.163 0.336 0.264
8 Mg 0.163 0.336 0.736
9 Mg 0.664 0.837 0.264
10 Mg 0.664 0.837 0.736
11 Mg 0.670 0.330 0.256
12 Mg 0.670 0.330 0.744
13 Mg 0.169 0.831 0.255
14 Mg 0.169 0.831 0.745
15 Mn 0.833 0.167 0.500
16 Cr 0.333 0.667 0.500

Summary:
- crystal system = orthorhombic
- magnetization (μB/f.u.) = 8.21



## x
Below is Mg14MnCr after structural relaxation, with properties calculated at the GGA-PBE level.

Unit cell a=6.280 b=6.280 c=10.083 alpha=90.00 beta=90.00 gamma=120.00
Fractional positions:
1 Mg 0.001 0.501 0.000
2 Mg 0.001 0.501 0.500
3 Mg 0.499 0.999 0.000
4 Mg 0.499 0.999 0.500
5 Mg 0.499 0.501 0.000
6 Mg 0.499 0.501 0.500
7 Mg 0.162 0.838 0.248
8 Mg 0.162 0.838 0.752
9 Mg 0.162 0.324 0.248
10 Mg 0.162 0.324 0.752
11 Mg 0.676 0.838 0.248
12 Mg 0.676 0.838 0.752
13 Mg 0.667 0.333 0.249
14 Mg 0.667 0.333 0.751
15 Mn 0.000 0.000 0.000
16 Cr 0.000 0.000 0.500

Summary:
- crystal system = hexagonal
- magnetization (μB/f.u.) = 8.21



It is w that is the least stable of them.



## w
Below is MgMnCr3 after structural relaxation, with properties calculated at the GGA-PBE level.

Unit cell a=4.451 b=4.451 c=4.451 alpha=90.00 beta=90.00 gamma=90.00
Fractional positions:
1 Cr 0.000 0.500 0.000
2 Cr 0.000 0.000 0.500
3 Cr 0.500 0.000 0.000
4 Mg 0.500 0.500 0.500
5 Mn 0.000 0.000 0.000

Summary:
- crystal system = cubic
- magnetization (μB/f.u.) = 7.37



## x
Below is MgMnCr3 after structural relaxation, with properties calculated at the GGA-PBE level.

Unit cell a=4.245 b=4.245 c=4.245 alpha=90.00 beta=90.00 gamma=90.00
Fractional positions:
1 Cr 0.000 0.500 0.000
2 Cr 0.000 0.000 0.500
3 Cr 0.500 0.000 0.000
4 Mg 0.000 0.000 0.000
5 Mn 0.500 0.500 0.500

Summary:
- crystal system = cubic
- magnetization (μB/f.u.) = 0.00



It is x that is the least stable of them.



## w
Below is Mg2Cr2Mo after structural relaxation, with properties calculated at the GGA-PBE level.

Unit cell a=3.038 b=3.038 c=9.626 alpha=80.92 beta=80.92 gamma=90.00
Fractional positions:
1 Cr 0.750 0.250 0.500
2 Cr 0.250 0.750 0.500
3 Mo 0.000 0.000 0.000
4 Mg 0.389 0.389 0.223
5 Mg 0.611 0.611 0.777

Summary:
- crystal system = tetragonal
- magnetization (μB/f.u.) = 0.00



## x
Below is Mg2Cr2Mo after structural relaxation, with properties calculated at the GGA-PBE level.

Unit cell a=7.391 b=7.391 c=2.787 alpha=90.00 beta=90.00 gamma=90.00
Fractional positions:
1 Cr 0.177 0.677 0.500
2 Cr 0.677 0.823 0.500
3 Cr 0.823 0.323 0.500
4 Cr 0.323 0.177 0.500
5 Mo 0.000 0.000 0.000
6 Mo 0.500 0.500 0.000
7 Mg 0.375 0.875 0.000
8 Mg 0.875 0.625 0.000
9 Mg 0.625 0.125 0.000
10 Mg 0.125 0.375 0.000

Summary:
- crystal system = tetragonal
- magnetization (μB/f.u.) = 0.00



It is x that is the least stable of them.